# NaGeTe2

A relaxed NaGeTe2 crystal (GGA-PBE, the Alexandria database).

```
data_NaGeTe2
_symmetry_space_group_name_H-M 'R 3 m'
_symmetry_Int_Tables_number 160
_symmetry_space_group_name_Hall 'R 3 -2"'
_cell_length_a 4.1283
_cell_length_b 4.1283
_cell_length_c 23.5208
_cell_angle_alpha 90.00
_cell_angle_beta 90.00
_cell_angle_gamma 120.00
loop_
_atom_site_label
_atom_site_type_symbol
_atom_site_fract_x
_atom_site_fract_y
_atom_site_fract_z
Na1 Na 0.0000 0.0000 0.0000
Ge1 Ge 0.0000 0.0000 0.8332
Te1 Te 0.0000 0.0000 0.2379
Te2 Te 0.0000 0.0000 0.4285
```

Summary:
formation energy (no corrections)	-0.333	eV/atom